# HfMoN2O PBE with a Hubbard U optimized geometry
data_HfMoN2O
_cell_length_a 4.224
_cell_length_b 4.224
_cell_length_c 3.982
_cell_angle_alpha 90.00
_cell_angle_beta 90.00
_cell_angle_gamma 90.00
_symmetry_space_group_name_H-M 'P 4/m m m'
_symmetry_Int_Tables_number 123
_symmetry_space_group_name_Hall '-P 4 2'
loop_
_atom_site_label
_atom_site_fract_x
_atom_site_fract_y
_atom_site_fract_z
Hf1 0.000 0.000 0.000
Mo1 0.500 0.500 0.500
N1 0.000 0.500 0.000
O1 0.000 0.000 0.500
# - magnetic moment (μB per atom) = 0.40
# - theoretical density (g/cm³) = 7.4
# - N(E_F) (states/eV per cell) = 1.70
# - DFT total energy (eV/atom) = -7.979
# - crystal system = tetragonal